# CsZnPtI2, optimized geometry, DFT PBE
# * ΔE_f (raw): -0.2153 eV per atom
# * calculated density: 6.3 Mg/m³
# * N(E_F): 0.6389 states/eV/atom
data_CsZnPtI2
_chemical_formula_sum 'Cs1 Zn1 Pt1 I2'
_cell_length_a 5.868
_cell_length_b 5.868
_cell_length_c 4.943
_cell_angle_alpha 90.00
_cell_angle_beta 90.00
_cell_angle_gamma 90.00
_symmetry_space_group_name_H-M 'P 4/m m m'
_symmetry_Int_Tables_number 123
_symmetry_space_group_name_Hall '-P 4 2'
loop_
_atom_site_label
_atom_site_type_symbol
_atom_site_fract_x
_atom_site_fract_y
_atom_site_fract_z
_atom_site_occupancy
Cs1 Cs 0.000 0.000 0.000 1
Zn1 Zn 0.500 0.500 0.500 1
Pt1 Pt 0.500 0.500 0.000 1
I1 I 0.000 0.500 0.500 1

# Dy3RhPb2, optimized geometry, DFT PBE
# * E_form: -0.6165 eV/atom
# * calculated density: 10.3 Mg/m³
# * N(E_F): 0.4517 states/eV/atom
# * polymorph energy (0 for the lowest one): 0.0 kJ/mol of formula units
data_Dy3RhPb2
_chemical_formula_sum 'Dy12 Rh4 Pb8'
_cell_length_a 12.566
_cell_length_b 4.390
_cell_length_c 11.768
_cell_angle_alpha 90.00
_cell_angle_beta 90.00
_cell_angle_gamma 90.00
_symmetry_space_group_name_H-M 'P n m a'
_symmetry_Int_Tables_number 62
_symmetry_space_group_name_Hall '-P 2ac 2n'
loop_
_atom_site_label
_atom_site_type_symbol
_atom_site_fract_x
_atom_site_fract_y
_atom_site_fract_z
_atom_site_occupancy
Dy1 Dy 0.053 0.250 0.133 1
Dy2 Dy 0.121 0.750 0.541 1
Dy3 Dy 0.247 0.250 0.788 1
Rh1 Rh 0.127 0.250 0.368 1
Pb1 Pb 0.011 0.250 0.693 1
Pb2 Pb 0.183 0.750 0.999 1

# Ti4N3O2, optimized geometry, DFT PBE
# * ΔE_f (raw): -2.1329 eV per atom
# * calculated density: 4.7 Mg/m³
# * N(E_F): 0.3674 states/eV/atom
data_Ti4N3O2
_chemical_formula_sum 'Ti8 N6 O4'
_cell_length_a 10.059
_cell_length_b 2.964
_cell_length_c 7.436
_cell_angle_alpha 90.00
_cell_angle_beta 122.36
_cell_angle_gamma 90.00
_symmetry_space_group_name_H-M 'C 1 2/m 1'
_symmetry_Int_Tables_number 12
_symmetry_space_group_name_Hall '-C 2y'
loop_
_atom_site_label
_atom_site_type_symbol
_atom_site_fract_x
_atom_site_fract_y
_atom_site_fract_z
_atom_site_occupancy
Ti1 Ti 0.095 0.000 0.385 1
Ti2 Ti 0.215 0.500 0.791 1
N1 N 0.000 0.500 0.500 1
N2 N 0.192 0.500 0.298 1
O1 O 0.121 0.000 0.887 1

# BaScSi2, optimized geometry, DFT PBE
# * ΔE_f (raw): -0.3841 eV per atom
# * calculated density: 3.8 Mg/m³
# * N(E_F): 0.6594 states/eV/atom
# * polymorph energy (0 for the lowest one): 20.8 kJ/mol of formula units
data_BaScSi2
_chemical_formula_sum 'Ba2 Sc2 Si4'
_cell_length_a 3.735
_cell_length_b 4.310
_cell_length_c 13.102
_cell_angle_alpha 90.00
_cell_angle_beta 90.00
_cell_angle_gamma 90.00
_symmetry_space_group_name_H-M 'I m m 2'
_symmetry_Int_Tables_number 44
_symmetry_space_group_name_Hall 'I 2 -2'
loop_
_atom_site_label
_atom_site_type_symbol
_atom_site_fract_x
_atom_site_fract_y
_atom_site_fract_z
_atom_site_occupancy
Ba1 Ba 0.000 0.000 0.000 1
Sc1 Sc 0.000 0.500 0.759 1
Si1 Si 0.000 0.000 0.630 1
Si2 Si 0.000 0.500 0.251 1

# ScCd3O, optimized geometry, DFT PBE
# * ΔE_f (raw): 1.0256 eV per atom
# * calculated density: 3.6 Mg/m³
# * N(E_F): 0.7513 states/eV/atom
# * polymorph energy (0 for the lowest one): 529.1 kJ/mol of formula units
data_ScCd3O
_chemical_formula_sum 'Sc1 Cd3 O1'
_cell_length_a 5.686
_cell_length_b 5.686
_cell_length_c 5.686
_cell_angle_alpha 90.00
_cell_angle_beta 90.00
_cell_angle_gamma 90.00
_symmetry_space_group_name_H-M 'P m -3 m'
_symmetry_Int_Tables_number 221
_symmetry_space_group_name_Hall '-P 4 2 3'
loop_
_atom_site_label
_atom_site_type_symbol
_atom_site_fract_x
_atom_site_fract_y
_atom_site_fract_z
_atom_site_occupancy
Sc1 Sc 0.000 0.000 0.000 1
Cd1 Cd 0.000 0.000 0.500 1
O1 O 0.500 0.500 0.500 1

# Zn4Cu15Ir, optimized geometry, DFT PBE
# * E_form: -0.0258 eV/atom
# * calculated density: 9.4 Mg/m³
# * N(E_F): 0.4834 states/eV/atom
data_Zn4Cu15Ir
_chemical_formula_sum 'Zn4 Cu15 Ir1'
_cell_length_a 3.682
_cell_length_b 3.682
_cell_length_c 18.414
_cell_angle_alpha 90.00
_cell_angle_beta 90.00
_cell_angle_gamma 90.00
_symmetry_space_group_name_H-M 'P 4/m m m'
_symmetry_Int_Tables_number 123
_symmetry_space_group_name_Hall '-P 4 2'
loop_
_atom_site_label
_atom_site_type_symbol
_atom_site_fract_x
_atom_site_fract_y
_atom_site_fract_z
_atom_site_occupancy
Zn1 Zn 0.000 0.000 0.101 1
Zn2 Zn 0.000 0.000 0.301 1
Cu1 Cu 0.000 0.500 0.000 1
Cu2 Cu 0.000 0.500 0.200 1
Cu3 Cu 0.000 0.500 0.399 1
Cu4 Cu 0.500 0.500 0.099 1
Cu5 Cu 0.500 0.500 0.299 1
Cu6 Cu 0.500 0.500 0.500 1
Ir1 Ir 0.000 0.000 0.500 1

# Rb2HgHS, optimized geometry, DFT PBE
# * calculated density: 4.2 Mg/m³
# * energy: -2.061 eV/atom
# * N(E_F): 0.3076 states/eV/atom
data_Rb2HgHS
_chemical_formula_sum 'Rb2 Hg1 H1 S1'
_cell_length_a 6.440
_cell_length_b 6.440
_cell_length_c 3.833
_cell_angle_alpha 90.00
_cell_angle_beta 90.00
_cell_angle_gamma 90.00
_symmetry_space_group_name_H-M 'P 4/m m m'
_symmetry_Int_Tables_number 123
_symmetry_space_group_name_Hall '-P 4 2'
loop_
_atom_site_label
_atom_site_type_symbol
_atom_site_fract_x
_atom_site_fract_y
_atom_site_fract_z
_atom_site_occupancy
Rb1 Rb 0.000 0.500 0.000 1
Hg1 Hg 0.000 0.000 0.000 1
H1 H 0.000 0.000 0.500 1
S1 S 0.500 0.500 0.500 1

# CdOs2Rh, optimized geometry, DFT PBE
# * E_form: 0.3773 eV/atom
# * calculated density: 15.9 Mg/m³
# * N(E_F): 0.9422 states/eV/atom
data_CdOs2Rh
_chemical_formula_sum 'Cd2 Os4 Rh2'
_cell_length_a 9.192
_cell_length_b 2.756
_cell_length_c 4.984
_cell_angle_alpha 90.00
_cell_angle_beta 99.38
_cell_angle_gamma 90.00
_symmetry_space_group_name_H-M 'C 1 m 1'
_symmetry_Int_Tables_number 8
_symmetry_space_group_name_Hall 'C -2y'
loop_
_atom_site_label
_atom_site_type_symbol
_atom_site_fract_x
_atom_site_fract_y
_atom_site_fract_z
_atom_site_occupancy
Cd1 Cd 0.000 0.000 0.000 1
Os1 Os 0.238 0.000 0.684 1
Os2 Os 0.496 0.000 0.508 1
Rh1 Rh 0.256 0.500 0.226 1

# ErAlAg4, optimized geometry, DFT PBE
# * E_form: 0.1833 eV/atom
# * calculated density: 7.4 Mg/m³
# * N(E_F): 0.3744 states/eV/atom
# * polymorph energy (0 for the lowest one): 183.9 kJ/mol of formula units
data_ErAlAg4
_chemical_formula_sum 'Er4 Al4 Ag16'
_cell_length_a 5.285
_cell_length_b 5.285
_cell_length_c 20.096
_cell_angle_alpha 90.00
_cell_angle_beta 90.00
_cell_angle_gamma 90.00
_symmetry_space_group_name_H-M 'I 41/a m d'
_symmetry_Int_Tables_number 141
loop_
_symmetry_equiv_pos_as_xyz
'x,y,z'
'-x,-y,-z'
'-y+1/4,x+3/4,z+1/4'
'y+1/4,-x+3/4,-z+1/4'
'-x+1/2,-y,z+1/2'
'x+1/2,y,-z+1/2'
'y+1/4,-x+1/4,z+3/4'
'-y+1/4,x+1/4,-z+3/4'
'x,-y,-z'
'-x,y,z'
'-y+1/4,-x+1/4,-z+3/4'
'y+1/4,x+1/4,z+3/4'
'-x+1/2,y,-z+1/2'
'x+1/2,-y,z+1/2'
'y+1/4,x+3/4,-z+1/4'
'-y+1/4,-x+3/4,z+1/4'
'x+1/2,y+1/2,z+1/2'
'-x+1/2,-y+1/2,-z+1/2'
'-y+3/4,x+1/4,z+3/4'
'y+3/4,-x+1/4,-z+3/4'
'-x,-y+1/2,z'
'x,y+1/2,-z'
'y+3/4,-x+3/4,z+1/4'
'-y+3/4,x+3/4,-z+1/4'
'x+1/2,-y+1/2,-z+1/2'
'-x+1/2,y+1/2,z+1/2'
'-y+3/4,-x+3/4,-z+1/4'
'y+3/4,x+3/4,z+1/4'
'-x,y+1/2,-z'
'x,-y+1/2,z'
'y+3/4,x+1/4,-z+3/4'
'-y+3/4,-x+1/4,z+3/4'
loop_
_atom_site_label
_atom_site_type_symbol
_atom_site_fract_x
_atom_site_fract_y
_atom_site_fract_z
_atom_site_occupancy
Er1 Er 0.000 0.250 0.375 1
Al1 Al 0.000 0.250 0.875 1
Ag1 Ag 0.000 0.004 0.231 1

# Li2Ca4Bi5, optimized geometry, DFT PBE
# * E_form: -0.6273 eV/atom
# * calculated density: 6.1 Mg/m³
# * N(E_F): 0.4682 states/eV/atom
data_Li2Ca4Bi5
_chemical_formula_sum 'Li8 Ca16 Bi20'
_cell_length_a 10.035
_cell_length_b 19.477
_cell_length_c 6.741
_cell_angle_alpha 90.00
_cell_angle_beta 90.00
_cell_angle_gamma 90.00
_symmetry_space_group_name_H-M 'I b a m'
_symmetry_Int_Tables_number 72
_symmetry_space_group_name_Hall '-I 2 2c'
loop_
_atom_site_label
_atom_site_type_symbol
_atom_site_fract_x
_atom_site_fract_y
_atom_site_fract_z
_atom_site_occupancy
Li1 Li 0.000 0.201 0.250 1
Ca1 Ca 0.116 0.352 0.000 1
Ca2 Ca 0.249 0.062 0.000 1
Bi1 Bi 0.000 0.500 0.250 1
Bi2 Bi 0.063 0.076 0.500 1
Bi3 Bi 0.184 0.280 0.500 1

# MnBe2Ag, optimized geometry, DFT PBE
# * E_form: 0.0503 eV/atom
# * calculated density: 6.6 Mg/m³
# * N(E_F): 0.1202 states/eV/atom
# * polymorph energy (0 for the lowest one): 0.0 kJ/mol of formula units
data_MnBe2Ag
_chemical_formula_sum 'Mn1 Be2 Ag1'
_cell_length_a 2.775
_cell_length_b 2.775
_cell_length_c 5.871
_cell_angle_alpha 90.00
_cell_angle_beta 90.00
_cell_angle_gamma 90.00
_symmetry_space_group_name_H-M 'P 4/m m m'
_symmetry_Int_Tables_number 123
_symmetry_space_group_name_Hall '-P 4 2'
loop_
_atom_site_label
_atom_site_type_symbol
_atom_site_fract_x
_atom_site_fract_y
_atom_site_fract_z
_atom_site_occupancy
Mn1 Mn 0.000 0.000 0.000 1
Be1 Be 0.500 0.500 0.213 1
Ag1 Ag 0.000 0.000 0.500 1

# NaY2CoIr, optimized geometry, DFT PBE
# * E_form: 0.4702 eV/atom
# * calculated density: 5.1 Mg/m³
# * N(E_F): 0.6980 states/eV/atom
data_NaY2CoIr
_chemical_formula_sum 'Na1 Y2 Co1 Ir1'
_cell_length_a 5.289
_cell_length_b 5.289
_cell_length_c 5.243
_cell_angle_alpha 90.00
_cell_angle_beta 90.00
_cell_angle_gamma 90.00
_symmetry_space_group_name_H-M 'P 4/m m m'
_symmetry_Int_Tables_number 123
_symmetry_space_group_name_Hall '-P 4 2'
loop_
_atom_site_label
_atom_site_type_symbol
_atom_site_fract_x
_atom_site_fract_y
_atom_site_fract_z
_atom_site_occupancy
Na1 Na 0.000 0.000 0.000 1
Y1 Y 0.000 0.500 0.500 1
Co1 Co 0.500 0.500 0.000 1
Ir1 Ir 0.000 0.000 0.500 1

no.,total magnetic moment (μB per formula unit)
1,0.00
2,0.00
3,0.00
4,0.60
5,0.64
6,0.00
7,0.00
8,0.00
9,0.00
10,0.00
11,2.11
12,1.77